No. 1
Here is a relaxed structure of CaEuTlSb from Alexandria. Energies are from PBE.

Output
Mass density ... 7.11 g cm⁻³
Size of the total moment ... 7.010 μB/f.u.
E_form (uncorrected) ... -0.62 eV per atom
Uncorrected energy ... -5.31 eV/atom

Unit cell a=5.5515 b=5.5515 c=5.5515 alpha=60.00 beta=60.00 gamma=60.00
Closest atoms and distances in Å follow each position.
Sites, in units of the cell vectors:
Eu 0.2500 0.2500 0.2500  4 Sb 3.40, 4 Tl 3.40
Sb 0.5000 0.5000 0.5000  4 Ca 3.40, 4 Eu 3.40
Tl 0.0000 0.0000 0.0000  4 Eu 3.40, 4 Ca 3.40
Ca 0.7500 0.7500 0.7500  4 Tl 3.40, 4 Sb 3.40

No. 2
Here is a relaxed structure of Pr3Tm2PuSe6 from Alexandria. Energies are from PBE.

Output
Mass density ... 8.02 g cm⁻³
Size of the total moment ... 5.798 μB/f.u.
E_form (uncorrected) ... -1.75 eV per atom
Uncorrected energy ... -6.63 eV/atom

Unit cell a=7.1428 b=7.1428 c=7.3313 alpha=99.35 beta=99.35 gamma=120.04
Closest atoms and distances in Å follow each position.
Sites, in units of the cell vectors:
Pr 0.1643 0.8357 0.5000  6 Se 3.00-3.04
Pr 0.8357 0.1643 0.5000  6 Se 3.00-3.04
Pr 0.5000 0.5000 0.5000  6 Se 2.99-3.04
Tm 0.3326 0.6674 0.0000  6 Se 2.85-2.86
Tm 0.6674 0.3326 0.0000  6 Se 2.85-2.86
Pu 0.0000 0.0000 0.0000  6 Se 2.90-2.91
Se 0.9224 0.5826 0.7674  2 Tm 2.85-2.86, 1 Pu 2.91, 3 Pr 3.00-3.04
Se 0.7363 0.7363 0.2294  2 Tm 2.85, 1 Pu 2.90, 3 Pr 2.99-3.03
Se 0.0776 0.4174 0.2326  2 Tm 2.85-2.86, 1 Pu 2.91, 3 Pr 3.00-3.04
Se 0.5826 0.9224 0.7674  2 Tm 2.85-2.86, 1 Pu 2.91, 3 Pr 3.00-3.04
Se 0.2637 0.2637 0.7706  2 Tm 2.85, 1 Pu 2.90, 3 Pr 2.99-3.03
Se 0.4174 0.0776 0.2326  2 Tm 2.85-2.86, 1 Pu 2.91, 3 Pr 3.00-3.04

No. 3
Here is a relaxed structure of ZrZnRh3 from Alexandria. Energies are from PBE.

Output
Mass density ... 9.37 g cm⁻³
Size of the total moment ... 0.000 μB/f.u.
Excess energy over the best structure of this formula in the dataset ... 0 meV per atom
Uncorrected energy ... -6.62 eV/atom

Unit cell a=4.7256 b=6.3458 c=6.3458 alpha=119.95 beta=90.00 gamma=90.00
Closest atoms and distances in Å follow each position.
Sites, in units of the cell vectors:
Zr 0.2500 0.3335 0.6665  6 Rh 2.81
Zr 0.7500 0.6665 0.3335  6 Rh 2.81
Zn 0.0000 0.0000 0.0000  2 Zn 2.36, 6 Rh 2.45
Zn 0.5000 0.0000 0.0000  2 Zn 2.36, 6 Rh 2.45
Rh 0.2500 0.8050 0.1950  2 Zn 2.45, 2 Rh 2.64
Rh 0.7500 0.1950 0.8050  2 Zn 2.45, 2 Rh 2.64
Rh 0.2500 0.8049 0.6102  2 Zn 2.45, 2 Rh 2.64
Rh 0.7500 0.1951 0.3898  2 Zn 2.45, 2 Rh 2.64
Rh 0.2500 0.3898 0.1951  2 Zn 2.45, 2 Rh 2.64
Rh 0.7500 0.6102 0.8049  2 Zn 2.45, 2 Rh 2.64

No. 4
Here is a relaxed structure of AlTcBr2 from Alexandria. Energies are from PBE.

Output
Mass density ... 4.60 g cm⁻³
Size of the total moment ... 0.000 μB/f.u.
Excess energy over the best structure of this formula in the dataset ... 426 meV per atom
E_form (uncorrected) ... 0.22 eV per atom
Uncorrected energy ... -4.14 eV/atom

Unit cell a=9.0765 b=9.0765 c=6.8860 alpha=48.77 beta=48.77 gamma=90.00
Closest atoms and distances in Å follow each position.
Sites, in units of the cell vectors:
Tc 0.0000 0.0000 0.0000  2 Al 2.50, 4 Br 2.55
Tc 0.7500 0.2500 0.5000  2 Al 2.50, 4 Br 2.55
Br 0.7676 0.1250 0.2500  2 Tc 2.55
Br 0.9824 0.6250 0.2500  2 Tc 2.55
Br 0.3750 0.2324 0.7500  2 Tc 2.55
Br 0.8750 0.0176 0.7500  2 Tc 2.55
Al 0.5000 0.5000 0.0000  2 Tc 2.50
Al 0.2500 0.7500 0.5000  2 Tc 2.50

No. 5
Here is a relaxed structure of LaCePmNd from Alexandria. Energies are from PBE.

Output
Mass density ... 6.76 g cm⁻³
Size of the total moment ... 3.126 μB/f.u.
Uncorrected energy ... -4.89 eV/atom

Unit cell a=5.8237 b=5.8237 c=5.8237 alpha=60.00 beta=60.00 gamma=60.00
Closest atoms and distances in Å follow each position.
Sites, in units of the cell vectors:
La 0.2500 0.2500 0.2500  4 Nd 3.57, 4 Ce 3.57
Nd 0.5000 0.5000 0.5000  4 Pm 3.57, 4 La 3.57
Ce 0.0000 0.0000 0.0000  4 Pm 3.57, 4 La 3.57
Pm 0.7500 0.7500 0.7500  4 Ce 3.57, 4 Nd 3.57

No. 6
Here is a relaxed structure of CrAs3S from Alexandria. Energies are from PBE.

Output
Mass density ... 5.31 g cm⁻³
Size of the total moment ... 0.000 μB/f.u.
Excess energy over the best structure of this formula in the dataset ... 0 meV per atom
E_form (uncorrected) ... 0.38 eV per atom
Uncorrected energy ... -5.16 eV/atom

Unit cell a=4.5880 b=4.5880 c=4.5880 alpha=90.00 beta=90.00 gamma=90.00
Closest atoms and distances in Å follow each position.
Sites, in units of the cell vectors:
Cr 0.0000 0.0000 0.0000  6 As 2.29
As 0.0000 0.5000 0.0000  2 Cr 2.29
As 0.0000 0.0000 0.5000  2 Cr 2.29
As 0.5000 0.0000 0.0000  2 Cr 2.29
S 0.5000 0.5000 0.5000  12 As 3.24

No. 7
Here is a relaxed structure of Te2PtBrN from Alexandria. Energies are from PBE.

Output
Mass density ... 7.96 g cm⁻³
Size of the total moment ... 0.000 μB/f.u.
Excess energy over the best structure of this formula in the dataset ... 1043 meV per atom
E_form (uncorrected) ... 1.57 eV per atom
Uncorrected energy ... -2.89 eV/atom

Unit cell a=5.6097 b=5.6097 c=3.6066 alpha=90.00 beta=90.00 gamma=90.00
Closest atoms and distances in Å follow each position.
Sites, in units of the cell vectors:
Te 0.0000 0.5000 0.0000  2 Br 2.80
Te 0.5000 0.0000 0.0000  2 Br 2.80
Br 0.0000 0.0000 0.0000  2 N 1.80
Pt 0.5000 0.5000 0.5000  8 Te 3.33, 2 Pt 3.61
N 0.0000 0.0000 0.5000  2 Br 1.80

No. 8
Here is a relaxed structure of TaHgPb from Alexandria. Energies are from PBE.

Output
Mass density ... 14.32 g cm⁻³
Size of the total moment ... 0.000 μB/f.u.
Excess energy over the best structure of this formula in the dataset ... 156 meV per atom
Uncorrected energy ... -4.65 eV/atom

Unit cell a=5.8485 b=5.8485 c=5.8485 alpha=148.76 beta=138.58 gamma=52.78
Closest atoms and distances in Å follow each position.
Sites, in units of the cell vectors:
Hg 0.0201 0.0201 0.0000  4 Ta 2.94, 2 Hg 3.15, 5 Pb 3.24-3.28
Pb 0.3292 0.3292 0.0000  2 Pb 3.15, 5 Ta 3.20-3.37, 5 Hg 3.24-3.28
Ta 0.6506 0.6506 0.0000  4 Hg 2.94, 2 Ta 3.15, 4 Pb 3.20

No. 9
Here is a relaxed structure of CaNd5Y4 from Alexandria. Energies are from PBE.

Output
Mass density ... 5.37 g cm⁻³
Size of the total moment ... 0.000 μB/f.u.
Uncorrected energy ... -5.14 eV/atom

Unit cell a=3.6511 b=3.6511 c=25.9245 alpha=90.00 beta=90.00 gamma=90.00
Closest atoms and distances in Å follow each position.
Sites, in units of the cell vectors:
Ca 0.0000 0.0000 0.0000  4 Ca 3.65, 8 Nd 3.82
Nd 0.5000 0.5000 0.1084  4 Y 3.58, 4 Nd 3.65, 4 Ca 3.82
Nd 0.5000 0.5000 0.3039  8 Y 3.62-3.65, 4 Nd 3.65
Nd 0.5000 0.5000 0.5000  8 Y 3.63, 4 Nd 3.65
Nd 0.5000 0.5000 0.6961  8 Y 3.62-3.65, 4 Nd 3.65
Nd 0.5000 0.5000 0.8916  4 Y 3.58, 4 Nd 3.65, 4 Ca 3.82
Y 0.0000 0.0000 0.2043  8 Nd 3.58-3.65, 4 Y 3.65
Y 0.0000 0.0000 0.4017  8 Nd 3.62-3.63, 4 Y 3.65
Y 0.0000 0.0000 0.5983  8 Nd 3.62-3.63, 4 Y 3.65
Y 0.0000 0.0000 0.7957  8 Nd 3.58-3.65, 4 Y 3.65

No. 10
Here is a relaxed structure of LaBeZnHRhS from Alexandria. Energies are from PBE.

Output
Mass density ... 6.26 g cm⁻³
Size of the total moment ... 0.001 μB/f.u.
Excess energy over the best structure of this formula in the dataset ... 109 meV per atom
Uncorrected energy ... -4.75 eV/atom

Unit cell a=3.5882 b=3.2942 c=15.6830 alpha=90.00 beta=90.00 gamma=90.00
Closest atoms and distances in Å follow each position.
Sites, in units of the cell vectors:
La 0.0000 0.0000 0.1718  4 H 2.52
La 0.0000 0.5000 0.6718  4 H 2.52
Be 0.5000 0.0000 0.9660  2 S 2.10, 1 Rh 2.26
Be 0.5000 0.5000 0.4660  2 S 2.10, 1 Rh 2.26
Zn 0.0000 0.0000 0.3774  4 Rh 2.59, 4 Be 2.80
Zn 0.0000 0.5000 0.8774  4 Rh 2.59, 4 Be 2.80
H 0.5000 0.0000 0.7122  1 Rh 1.72
H 0.5000 0.5000 0.2122  1 Rh 1.72
Rh 0.5000 0.0000 0.8220  1 H 1.72
Rh 0.5000 0.5000 0.3220  1 H 1.72
S 0.5000 0.0000 0.5493  2 Be 2.10
S 0.5000 0.5000 0.0493  2 Be 2.10

No. 11
Here is a relaxed structure of RbTlZn2I6 from Alexandria. Energies are from PBE.

Output
Mass density ... 3.71 g cm⁻³
Size of the total moment ... 0.000 μB/f.u.
E_form (uncorrected) ... -0.76 eV per atom
Uncorrected energy ... -2.28 eV/atom

Unit cell a=9.9179 b=9.9179 c=11.9366 alpha=97.58 beta=97.58 gamma=111.89
Closest atoms and distances in Å follow each position.
Sites, in units of the cell vectors:
Rb 0.5866 0.4134 0.2500  8 I 3.77-4.09, 2 Zn 4.21
Rb 0.4134 0.5866 0.7500  8 I 3.77-4.09, 2 Zn 4.21
Tl 0.0710 0.9290 0.2500  4 I 3.44-3.52
Tl 0.9290 0.0710 0.7500  4 I 3.44-3.52
Zn 0.4826 0.1926 0.6778  4 I 2.59-2.74
Zn 0.8074 0.5174 0.8222  4 I 2.59-2.74
Zn 0.5174 0.8074 0.3222  4 I 2.59-2.74
Zn 0.1926 0.4826 0.1778  4 I 2.59-2.74
I 0.9654 0.5521 0.1738  1 Zn 2.59
I 0.4479 0.0346 0.3262  1 Zn 2.59
I 0.0346 0.4479 0.8262  1 Zn 2.59
I 0.5521 0.9654 0.6738  1 Zn 2.59
I 0.1612 0.2157 0.0928  1 Zn 2.59
I 0.7843 0.8388 0.4072  1 Zn 2.59
I 0.8388 0.7843 0.9072  1 Zn 2.59
I 0.2157 0.1612 0.5928  1 Zn 2.59
I 0.3368 0.5756 0.4034  2 Zn 2.72-2.74
I 0.4244 0.6632 0.0966  2 Zn 2.72-2.74
I 0.6632 0.4244 0.5966  2 Zn 2.72-2.74
I 0.5756 0.3368 0.9034  2 Zn 2.72-2.74

No. 12
Here is a relaxed structure of Sr3PaRh2O9 from Alexandria. Energies are from PBE.

Output
Mass density ... 6.63 g cm⁻³
Size of the total moment ... 1.128 μB/f.u.
E_form (uncorrected) ... -2.25 eV per atom
Uncorrected energy ... -7.18 eV/atom

Unit cell a=5.7640 b=5.7640 c=7.3489 alpha=90.00 beta=90.00 gamma=120.00
Closest atoms and distances in Å follow each position.
Sites, in units of the cell vectors:
Sr 0.3333 0.6667 0.7283  9 O 2.60-2.91
Sr 0.0000 0.0000 0.0000  12 O 2.88-2.91
Sr 0.6667 0.3333 0.2717  9 O 2.60-2.91
Pa 0.0000 0.0000 0.5000  6 O 2.15
Rh 0.3333 0.6667 0.1637  6 O 2.00-2.05
Rh 0.6667 0.3333 0.8363  6 O 2.00-2.05
O 0.8298 0.1702 0.6784  1 Rh 2.00, 1 Pa 2.15
O 0.8298 0.6597 0.6784  1 Rh 2.00, 1 Pa 2.15
O 0.3403 0.1702 0.6784  1 Rh 2.00, 1 Pa 2.15
O 0.6597 0.8298 0.3216  1 Rh 2.00, 1 Pa 2.15
O 0.1702 0.3403 0.3216  1 Rh 2.00, 1 Pa 2.15
O 0.1702 0.8298 0.3216  1 Rh 2.00, 1 Pa 2.15
O 0.5000 0.0000 0.0000  2 Rh 2.05
O 0.0000 0.5000 0.0000  2 Rh 2.05
O 0.5000 0.5000 0.0000  2 Rh 2.05

No. 13
Here is a relaxed structure of HfAg from Alexandria. Energies are from PBE.

Output
Mass density ... 11.26 g cm⁻³
Size of the total moment ... 0.000 μB/f.u.
Uncorrected energy ... -6.33 eV/atom

Unit cell a=8.5570 b=8.5570 c=4.6134 alpha=90.00 beta=90.00 gamma=90.00
Closest atoms and distances in Å follow each position.
Sites, in units of the cell vectors:
Hf 0.6785 0.0000 0.0000  6 Ag 2.86-3.02, 5 Hf 3.06-3.16
Hf 0.3215 0.0000 0.0000  6 Ag 2.86-3.02, 5 Hf 3.06-3.16
Hf 0.0000 0.3215 0.0000  6 Ag 2.86-3.02, 5 Hf 3.06-3.16
Hf 0.0000 0.6785 0.0000  6 Ag 2.86-3.02, 5 Hf 3.06-3.16
Hf 0.1785 0.5000 0.5000  6 Ag 2.86-3.02, 5 Hf 3.06-3.16
Hf 0.8215 0.5000 0.5000  6 Ag 2.86-3.02, 5 Hf 3.06-3.16
Hf 0.5000 0.8215 0.5000  6 Ag 2.86-3.02, 5 Hf 3.06-3.16
Hf 0.5000 0.1785 0.5000  6 Ag 2.86-3.02, 5 Hf 3.06-3.16
Ag 0.3337 0.3337 0.0000  4 Ag 2.85-3.07, 6 Hf 2.86-3.02
Ag 0.3337 0.6663 0.0000  4 Ag 2.85-3.07, 6 Hf 2.86-3.02
Ag 0.6663 0.3337 0.0000  4 Ag 2.85-3.07, 6 Hf 2.86-3.02
Ag 0.6663 0.6663 0.0000  4 Ag 2.85-3.07, 6 Hf 2.86-3.02
Ag 0.8337 0.8337 0.5000  4 Ag 2.85-3.07, 6 Hf 2.86-3.02
Ag 0.8337 0.1663 0.5000  4 Ag 2.85-3.07, 6 Hf 2.86-3.02
Ag 0.1663 0.8337 0.5000  4 Ag 2.85-3.07, 6 Hf 2.86-3.02
Ag 0.1663 0.1663 0.5000  4 Ag 2.85-3.07, 6 Hf 2.86-3.02

No. 14
Here is a relaxed structure of ScNbCr2Au from Alexandria. Energies are from PBE.

Output
Mass density ... 8.23 g cm⁻³
Size of the total moment ... 0.001 μB/f.u.
Uncorrected energy ... -6.06 eV/atom

Unit cell a=4.3215 b=4.7422 c=4.3215 alpha=90.00 beta=90.00 gamma=90.00
Closest atoms and distances in Å follow each position.
Sites, in units of the cell vectors:
Sc 0.0000 0.0000 0.0000  4 Cr 2.16, 2 Nb 2.37
Cr 0.0000 0.0000 0.5000  2 Sc 2.16
Cr 0.5000 0.0000 0.0000  2 Sc 2.16
Nb 0.0000 0.5000 0.0000  2 Sc 2.37
Au 0.5000 0.5000 0.5000  4 Nb 3.06, 8 Cr 3.21

No. 15
Here is a relaxed structure of Li3CuSb from Alexandria. Energies are from PBE.

Output
Mass density ... 3.62 g cm⁻³
Size of the total moment ... 0.000 μB/f.u.
Excess energy over the best structure of this formula in the dataset ... 292 meV per atom
E_form (uncorrected) ... 0.00 eV per atom
Uncorrected energy ... -2.79 eV/atom

Unit cell a=4.5578 b=4.5578 c=4.5578 alpha=90.00 beta=90.00 gamma=90.00
Closest atoms and distances in Å follow each position.
Sites, in units of the cell vectors:
Sb 0.5000 0.5000 0.5000  12 Li 3.22
Cu 0.0000 0.0000 0.0000  6 Li 2.28
Li 0.0000 0.5000 0.0000  2 Cu 2.28
Li 0.0000 0.0000 0.5000  2 Cu 2.28
Li 0.5000 0.0000 0.0000  2 Cu 2.28

No. 16
Here is a relaxed structure of Y2ZnMo from Alexandria. Energies are from PBE.

Output
Mass density ... 5.94 g cm⁻³
Size of the total moment ... 1.054 μB/f.u.
Uncorrected energy ... -5.86 eV/atom

Unit cell a=9.7970 b=9.7970 c=9.7970 alpha=19.86 beta=19.86 gamma=19.86
Closest atoms and distances in Å follow each position.
Sites, in units of the cell vectors:
Mo 0.7589 0.7589 0.7589  3 Zn 2.68, 3 Y 2.95
Y 0.0153 0.0153 0.0153  3 Mo 2.95
Y 0.2365 0.2365 0.2365  3 Zn 3.03, 6 Y 3.38
Zn 0.4893 0.4893 0.4893  3 Mo 2.68